1.
Compound: Cs2Tl3Hg2
Source: Alexandria via LeMat-Bulk
Functional: PBE-GGA
Structure: optimized geometry

```
data_Cs2Tl3Hg2
_chemical_formula_sum 'Cs2 Tl3 Hg2'
_space_group_name_H-M_alt 'P 1'
_space_group_IT_number 1
_space_group_name_Hall 'P 1'
_cell_length_a 7.059
_cell_length_b 7.059
_cell_length_c 9.370
_cell_angle_alpha 97.32
_cell_angle_beta 97.32
_cell_angle_gamma 37.37
loop_
_atom_site_label
_atom_site_fract_x
_atom_site_fract_y
_atom_site_fract_z
_atom_site_occupancy
Cs1 0.123 0.123 0.336 1
Cs2 0.877 0.877 0.664 1
Tl1 0.181 0.181 0.905 1
Tl2 0.500 0.500 0.000 1
Tl3 0.819 0.819 0.095 1
Hg1 0.399 0.399 0.330 1
Hg2 0.601 0.601 0.670 1
```

Results
energy of formation from the pure elements	-0.12	eV/atom
V	40.12	Å³ per atom
SG	C2/m
size of the total moment	0.0	μB/f.u.
E	-1.463	eV/atom
ΔE to the lowest computed polymorph	0	meV/atom
mass density	7570	kg/m³

---

2.
Compound: HoGa12Ni6
Source: Alexandria via LeMat-Bulk
Functional: PBE-GGA
Structure: optimized geometry

```
data_HoGa12Ni6
_chemical_formula_sum 'Ho1 Ga12 Ni6'
_space_group_name_H-M_alt 'P 1'
_space_group_IT_number 1
_space_group_name_Hall 'P 1'
_cell_length_a 6.923
_cell_length_b 6.923
_cell_length_c 6.923
_cell_angle_alpha 104.40
_cell_angle_beta 104.40
_cell_angle_gamma 104.40
loop_
_atom_site_label
_atom_site_fract_x
_atom_site_fract_y
_atom_site_fract_z
_atom_site_occupancy
Ho1 0.000 0.000 0.000 1
Ga1 0.115 0.500 0.885 1
Ga2 0.115 0.885 0.500 1
Ga3 0.148 0.403 0.403 1
Ga4 0.403 0.148 0.403 1
Ga5 0.403 0.403 0.148 1
Ga6 0.500 0.115 0.885 1
Ga7 0.500 0.885 0.115 1
Ga8 0.597 0.597 0.852 1
Ga9 0.597 0.852 0.597 1
Ga10 0.852 0.597 0.597 1
Ga11 0.885 0.115 0.500 1
Ga12 0.885 0.500 0.115 1
Ni1 0.284 0.284 0.709 1
Ni2 0.284 0.709 0.284 1
Ni3 0.291 0.716 0.716 1
Ni4 0.709 0.284 0.284 1
Ni5 0.716 0.291 0.716 1
Ni6 0.716 0.716 0.291 1
```

Results
energy of formation from the pure elements	-0.31	eV/atom
V	15.46	Å³ per atom
SG	R-3m
size of the total moment	0.0	μB/f.u.
E	-4.290	eV/atom
mass density	7654	kg/m³

---

3.
Compound: RbSrTe2
Source: Alexandria via LeMat-Bulk
Functional: PBE-GGA
Structure: optimized geometry

```
data_RbSrTe2
_chemical_formula_sum 'Rb1 Sr1 Te2'
_space_group_name_H-M_alt 'P 1'
_space_group_IT_number 1
_space_group_name_Hall 'P 1'
_cell_length_a 9.134
_cell_length_b 9.134
_cell_length_c 9.134
_cell_angle_alpha 30.57
_cell_angle_beta 30.57
_cell_angle_gamma 30.57
loop_
_atom_site_label
_atom_site_fract_x
_atom_site_fract_y
_atom_site_fract_z
_atom_site_occupancy
Rb1 0.000 0.000 0.000 1
Sr1 0.170 0.170 0.170 1
Te1 0.573 0.573 0.573 1
Te2 0.765 0.765 0.765 1
```

Results
V	43.68	Å³ per atom
SG	R3m
size of the total moment	0.0	μB/f.u.
E	-3.320	eV/atom
mass density	4070	kg/m³

---

- E of number 3 (RbSrTe2)?
  -3.320 eV/atom

---

- Which value of mass density does entry 3 give?
  4070 kg/m³

---

- Which value of V does entry 2 give?
  15.46 Å³ per atom

---

Copy entry 2 word for word.
Compound: HoGa12Ni6
Source: Alexandria via LeMat-Bulk
Functional: PBE-GGA
Structure: optimized geometry

```
data_HoGa12Ni6
_chemical_formula_sum 'Ho1 Ga12 Ni6'
_space_group_name_H-M_alt 'P 1'
_space_group_IT_number 1
_space_group_name_Hall 'P 1'
_cell_length_a 6.923
_cell_length_b 6.923
_cell_length_c 6.923
_cell_angle_alpha 104.40
_cell_angle_beta 104.40
_cell_angle_gamma 104.40
loop_
_atom_site_label
_atom_site_fract_x
_atom_site_fract_y
_atom_site_fract_z
_atom_site_occupancy
Ho1 0.000 0.000 0.000 1
Ga1 0.115 0.500 0.885 1
Ga2 0.115 0.885 0.500 1
Ga3 0.148 0.403 0.403 1
Ga4 0.403 0.148 0.403 1
Ga5 0.403 0.403 0.148 1
Ga6 0.500 0.115 0.885 1
Ga7 0.500 0.885 0.115 1
Ga8 0.597 0.597 0.852 1
Ga9 0.597 0.852 0.597 1
Ga10 0.852 0.597 0.597 1
Ga11 0.885 0.115 0.500 1
Ga12 0.885 0.500 0.115 1
Ni1 0.284 0.284 0.709 1
Ni2 0.284 0.709 0.284 1
Ni3 0.291 0.716 0.716 1
Ni4 0.709 0.284 0.284 1
Ni5 0.716 0.291 0.716 1
Ni6 0.716 0.716 0.291 1
```

Results
energy of formation from the pure elements	-0.31	eV/atom
V	15.46	Å³ per atom
SG	R-3m
size of the total moment	0.0	μB/f.u.
E	-4.290	eV/atom
mass density	7654	kg/m³